! PBE LaCeIrPt, optimized geometry; values from VASP
! SG: F-43m (216)
&SYSTEM
  ibrav = 0, nat = 16, ntyp = 4
/
ATOMIC_SPECIES
La 138.91 La.upf
Ce 140.12 Ce.upf
Ir 192.22 Ir.upf
Pt 195.08 Pt.upf
CELL_PARAMETERS angstrom
7.1638 0.0000 0.0000
0.0000 7.1638 0.0000
0.0000 0.0000 7.1638
ATOMIC_POSITIONS angstrom
La 0.0000 0.0000 0.0000
La 0.0000 3.5819 3.5819
La 3.5819 0.0000 3.5819
La 3.5819 3.5819 0.0000
Ce 0.0000 0.0000 3.5819
Ce 0.0000 3.5819 0.0000
Ce 3.5819 0.0000 0.0000
Ce 3.5819 3.5819 3.5819
Ir 1.7910 1.7910 5.3729
Ir 1.7910 5.3729 1.7910
Ir 5.3729 1.7910 1.7910
Ir 5.3729 5.3729 5.3729
Pt 1.7910 1.7910 1.7910
Pt 1.7910 5.3729 5.3729
Pt 5.3729 1.7910 5.3729
Pt 5.3729 5.3729 1.7910

***

! PBE LaCeIrRh, optimized geometry; values from VASP
! SG: F-43m (216)
&SYSTEM
  ibrav = 0, nat = 16, ntyp = 4
/
ATOMIC_SPECIES
La 138.91 La.upf
Ce 140.12 Ce.upf
Ir 192.22 Ir.upf
Rh 102.91 Rh.upf
CELL_PARAMETERS angstrom
7.0819 0.0000 0.0000
0.0000 7.0819 0.0000
0.0000 0.0000 7.0819
ATOMIC_POSITIONS angstrom
La 0.0000 0.0000 0.0000
La 0.0000 3.5410 3.5410
La 3.5410 0.0000 3.5410
La 3.5410 3.5410 0.0000
Ce 0.0000 0.0000 3.5410
Ce 0.0000 3.5410 0.0000
Ce 3.5410 0.0000 0.0000
Ce 3.5410 3.5410 3.5410
Ir 1.7705 1.7705 5.3115
Ir 1.7705 5.3115 1.7705
Ir 5.3115 1.7705 1.7705
Ir 5.3115 5.3115 5.3115
Rh 1.7705 1.7705 1.7705
Rh 1.7705 5.3115 5.3115
Rh 5.3115 1.7705 5.3115
Rh 5.3115 5.3115 1.7705

***

Number 1: E_tot -7.254 eV per atom. Number 2: E_tot -7.418 eV per atom.